Record 1
This record from the Alexandria database describes crystalline Ce4PaSe5 at its relaxed geometry. The functional is PBE.

Cell: 9.315 9.315 5.887 Å, 90.00 90.00 90.00°
Space group I4/m (No. 87)
Symmetry-distinct sites (fractional):
Ce 0.097 0.300 0.000
Pa 0.000 0.000 0.500
Se 0.000 0.000 0.000
Se 0.099 0.296 0.500

- Density: 7.71 g cm⁻³
- E_form (uncorrected): -1684 meV/atom
- Uncorrected energy: -6.7490 eV/atom


Record 2
This record from the Alexandria database describes crystalline Pr2NdZn at its relaxed geometry. The functional is PBE.

Cell: 3.716 3.716 8.908 Å, 90.00 90.00 90.00°
Space group P4/mmm (No. 123)
Symmetry-distinct sites (fractional):
Pr 0.000 0.000 0.208
Nd 0.500 0.500 0.500
Zn 0.500 0.500 0.000

- Density: 6.64 g cm⁻³
- Uncorrected energy: -4.0448 eV/atom
- Calculated formation energy: -0.145 eV/atom
- Distance to the lowest polymorph of the same formula: 0.000 eV/atom


Record 3
This record from the Alexandria database describes crystalline ZnCoAs2 at its relaxed geometry. The functional is PBE.

Cell: 3.901 3.258 5.182 Å, 90.00 102.16 90.00°
Space group P2/m (No. 10)
Symmetry-distinct sites (fractional):
Zn 0.000 0.000 0.000
Co 0.500 0.500 0.500
As 0.000 0.000 0.500
As 0.500 0.500 0.000

- Density: 7.07 g cm⁻³
- Uncorrected energy: -4.2199 eV/atom
- Calculated formation energy: 0.200 eV/atom


Record 4
This record from the Alexandria database describes crystalline Si3AgHg at its relaxed geometry. The functional is PBE.

Cell: 4.901 4.901 4.901 Å, 90.00 90.00 90.00°
Space group Pm-3m (No. 221)
Symmetry-distinct sites (fractional):
Si 0.000 0.000 0.500
Ag 0.000 0.000 0.000
Hg 0.500 0.500 0.500

- Density: 5.54 g cm⁻³
- E_form (uncorrected): 1024 meV/atom
- Uncorrected energy: -2.8608 eV/atom
- Distance to the lowest polymorph of the same formula: 0.000 eV/atom


Record 5
This record from the Alexandria database describes crystalline YCdSb2Te at its relaxed geometry. The functional is PBE.

Cell: 5.846 5.846 5.786 Å, 90.00 90.00 90.00°
Space group P4/mmm (No. 123)
Symmetry-distinct sites (fractional):
Y 0.000 0.000 0.000
Cd 0.500 0.500 0.500
Sb 0.000 0.500 0.000
Te 0.000 0.000 0.500

- Density: 4.81 g cm⁻³
- E_form (uncorrected): 185 meV/atom
- Uncorrected energy: -3.5679 eV/atom
- Distance to the lowest polymorph of the same formula: 0.000 eV/atom


Record 6
This record from the Alexandria database describes crystalline K4RbIn at its relaxed geometry. The functional is PBE.

Cell: 21.700 9.987 7.516 Å, 90.00 110.24 90.00°
Space group C2/m (No. 12)
Symmetry-distinct sites (fractional):
K 0.000 0.210 0.000
K 0.112 0.231 0.613
K 0.155 0.500 0.154
Rb 0.208 0.000 0.209
In 0.000 0.500 0.306

- Density: 1.55 g cm⁻³
- Uncorrected energy: -1.3543 eV/atom
- Calculated formation energy: -0.005 eV/atom


Record 7
This record from the Alexandria database describes crystalline YHgN2 at its relaxed geometry. The functional is PBE.

Cell: 3.6590 3.6590 18.9285 Å, 90.00 90.00 120.00°
Space group R-3m (No. 166, hexagonal axes)
Symmetry-distinct sites (fractional):
Y 0.0000 0.0000 0.0000
Hg 0.0000 0.0000 0.5000
N 0.0000 0.0000 0.3926

- Density: 7.21 g cm⁻³
- E_form (uncorrected): -180 meV/atom
- Uncorrected energy: -6.0338 eV/atom


Record 8
This record from the Alexandria database describes crystalline Re4TcRh at its relaxed geometry. The functional is PBE.

Cell: 8.776 5.434 4.388 Å, 90.00 119.85 90.00°
Space group C2/m (No. 12)
Symmetry-distinct sites (fractional):
Re 0.166 0.250 0.167
Tc 0.000 0.000 0.500
Rh 0.000 0.500 0.500

- Density: 17.31 g cm⁻³
- Uncorrected energy: -11.1281 eV/atom
- Calculated formation energy: 0.124 eV/atom
- Distance to the lowest polymorph of the same formula: 0.000 eV/atom


Record 9
This record from the Alexandria database describes crystalline HoAlFe at its relaxed geometry. The functional is PBE.

Cell: 8.551 5.373 9.323 Å, 90.00 90.00 90.00°
Space group Amm2 (No. 38)
Symmetry-distinct sites (fractional):
Ho 0.184 0.000 0.000
Ho 0.300 0.000 0.670
Al 0.000 0.000 0.495
Al 0.500 0.000 0.168
Al 0.500 0.244 0.414
Fe 0.000 0.248 0.254
Fe 0.238 0.000 0.324

- Density: 7.68 g cm⁻³
- Uncorrected energy: -5.8974 eV/atom
- Calculated formation energy: -0.303 eV/atom


Record 10
This record from the Alexandria database describes crystalline MgAl3O6 at its relaxed geometry. The functional is PBE.

Cell: 4.9053 4.9053 13.2983 Å, 90.00 90.00 120.00°
Space group R3 (No. 146, hexagonal axes)
Symmetry-distinct sites (fractional):
Mg 0.0000 0.0000 0.0000
Al 0.0000 0.0000 0.2884
Al 0.0000 0.0000 0.4919
Al 0.0000 0.0000 0.7935
O 0.0068 0.6849 0.8871
O 0.0233 0.3874 0.0588

- Density: 3.62 g cm⁻³
- E_form (uncorrected): -2680 meV/atom
- Uncorrected energy: -6.9369 eV/atom


Record 11
This record from the Alexandria database describes crystalline Tm4MgOs at its relaxed geometry. The functional is PBE.

Cell: 13.568 13.568 13.568 Å, 90.00 90.00 90.00°
Space group F-43m (No. 216)
Symmetry-distinct sites (fractional):
Tm 0.000 0.000 0.188
Tm 0.058 0.250 0.750
Tm 0.156 0.156 0.344
Mg 0.079 0.079 0.579
Os 0.139 0.139 0.139

- Density: 9.47 g cm⁻³
- Uncorrected energy: -5.3299 eV/atom
- Calculated formation energy: -0.211 eV/atom
- Distance to the lowest polymorph of the same formula: 0.000 eV/atom


Record 12
This record from the Alexandria database describes crystalline KNdO2 at its relaxed geometry. The functional is PBE.

Cell: 3.6384 3.6384 12.7021 Å, 90.00 90.00 120.00°
Space group P6_3/mmc (No. 194)
Symmetry-distinct sites (fractional):
K 0.3333 0.6667 0.2500
Nd 0.0000 0.0000 0.0000
O 0.3333 0.6667 0.5952

- Density: 4.91 g cm⁻³
- E_form (uncorrected): -2602 meV/atom
- Uncorrected energy: -6.5473 eV/atom